LiWSe2: optimized geometry, PBE-GGA. Values from VASP.

Structure (Quantum ESPRESSO input):
```
&SYSTEM
  ibrav = 0, nat = 4, ntyp = 3
/
ATOMIC_SPECIES
Li 6.94 Li.upf
Se 78.96 Se.upf
W 183.84 W.upf
CELL_PARAMETERS angstrom
-1.1441 -2.1196 -2.0558
1.5689 -2.3041 1.5025
-5.3643 -1.0201 4.0370
ATOMIC_POSITIONS crystal
Li 0.5000 0.5000 0.7500
Se 0.0000 0.0000 0.0243
Se 0.0000 0.0000 0.4757
W 0.5000 0.5000 0.2500
```

## Properties
Spin magnetization (μB/atom): 0.00
Uncorrected energy (eV/f.u.): -23.03
Formation energy from raw total energies (meV per atom): -299
Energy above the most stable polymorph in this dataset (meV per atom): 83

LiWSe2: optimized geometry, PBE-GGA. Values from VASP.

Structure (Quantum ESPRESSO input):
```
&SYSTEM
  ibrav = 0, nat = 4, ntyp = 3
/
ATOMIC_SPECIES
Li 6.94 Li.upf
Se 78.96 Se.upf
W 183.84 W.upf
CELL_PARAMETERS angstrom
4.1194 -0.1162 0.1272
2.8741 2.9535 0.1272
0.5984 0.2428 6.3907
ATOMIC_POSITIONS crystal
Li 0.6839 0.6839 0.9731
Se 0.9994 0.9994 0.7686
Se 0.2720 0.2720 0.2914
W 0.5446 0.5446 0.4669
```

## Properties
Spin magnetization (μB/atom): 0.12
Uncorrected energy (eV/f.u.): -23.00
Formation energy from raw total energies (meV per atom): -291
Energy above the most stable polymorph in this dataset (meV per atom): 91

LiWSe2: optimized geometry, PBE-GGA. Values from VASP.

Structure (Quantum ESPRESSO input):
```
&SYSTEM
  ibrav = 0, nat = 4, ntyp = 3
/
ATOMIC_SPECIES
Li 6.94 Li.upf
Se 78.96 Se.upf
W 183.84 W.upf
CELL_PARAMETERS angstrom
5.3306 -0.0008 0.0106
0.5925 5.2976 -0.0106
-1.6406 -4.1256 2.9502
ATOMIC_POSITIONS crystal
Li 0.2500 0.7500 0.5000
Se 0.9815 0.9815 0.0000
Se 0.5185 0.5185 0.0000
W 0.7500 0.2500 0.5000
```

## Properties
Spin magnetization (μB/atom): 0.00
Uncorrected energy (eV/f.u.): -21.67
Formation energy from raw total energies (meV per atom): 42
Energy above the most stable polymorph in this dataset (meV per atom): 425

Li2WSe: optimized geometry, PBE-GGA. Values from VASP.

Structure (Quantum ESPRESSO input):
```
&SYSTEM
  ibrav = 0, nat = 4, ntyp = 3
/
ATOMIC_SPECIES
Li 6.94 Li.upf
Se 78.96 Se.upf
W 183.84 W.upf
CELL_PARAMETERS angstrom
-2.5178 -1.6024 -0.7795
1.8101 -3.5631 1.4779
-1.7964 0.8064 4.1445
ATOMIC_POSITIONS crystal
Li 0.0000 0.0000 0.0000
Li 0.5000 0.5000 0.0000
Se 0.5000 0.0000 0.5000
W 0.0000 0.5000 0.5000
```

## Properties
Spin magnetization (μB/atom): 0.00
Uncorrected energy (eV/f.u.): -19.40
Formation energy from raw total energies (meV per atom): 217

LiWSe2: optimized geometry, PBE-GGA. Values from VASP.

Structure (Quantum ESPRESSO input):
```
&SYSTEM
  ibrav = 0, nat = 4, ntyp = 3
/
ATOMIC_SPECIES
Li 6.94 Li.upf
Se 78.96 Se.upf
W 183.84 W.upf
CELL_PARAMETERS angstrom
4.5461 0.0000 0.0000
2.2731 3.9371 0.0000
2.2731 1.3124 3.7119
ATOMIC_POSITIONS crystal
Li 0.5000 0.5000 0.5000
Se 0.0000 0.0000 0.0000
Se 0.7500 0.7500 0.7500
W 0.2500 0.2500 0.2500
```

## Properties
Spin magnetization (μB/atom): 0.00
Uncorrected energy (eV/f.u.): -18.63
Formation energy from raw total energies (meV per atom): 802
Energy above the most stable polymorph in this dataset (meV per atom): 1184

Li2WSe: optimized geometry, PBE-GGA. Values from VASP.

Structure (Quantum ESPRESSO input):
```
&SYSTEM
  ibrav = 0, nat = 4, ntyp = 3
/
ATOMIC_SPECIES
Li 6.94 Li.upf
Se 78.96 Se.upf
W 183.84 W.upf
CELL_PARAMETERS angstrom
-5.0077 -1.3282 1.5444
-1.2821 -5.0022 1.6001
3.0848 4.3764 0.7460
ATOMIC_POSITIONS crystal
Li 0.9758 0.9758 0.0000
Li 0.5242 0.5242 0.0000
Se 0.7500 0.2500 0.5000
W 0.2500 0.7500 0.5000
```

## Properties
Spin magnetization (μB/atom): 0.00
Uncorrected energy (eV/f.u.): -19.61
Formation energy from raw total energies (meV per atom): 163

LiWSe3: optimized geometry, PBE-GGA. Values from VASP.

Structure (Quantum ESPRESSO input):
```
&SYSTEM
  ibrav = 0, nat = 5, ntyp = 3
/
ATOMIC_SPECIES
Se 78.96 Se.upf
W 183.84 W.upf
Li 6.94 Li.upf
CELL_PARAMETERS angstrom
4.9929 0.0000 0.0000
0.0000 4.9929 0.0000
0.0000 0.0000 4.9929
ATOMIC_POSITIONS crystal
Se 0.0000 0.5000 0.0000
Se 0.0000 0.0000 0.5000
Se 0.5000 0.0000 0.0000
W 0.0000 0.0000 0.0000
Li 0.5000 0.5000 0.5000
```

## Properties
Spin magnetization (μB/atom): 0.00
Uncorrected energy (eV/f.u.): -25.72
Formation energy from raw total energies (meV per atom): -80
Energy above the most stable polymorph in this dataset (meV per atom): 344

Li2WSe: optimized geometry, PBE-GGA. Values from VASP.

Structure (Quantum ESPRESSO input):
```
&SYSTEM
  ibrav = 0, nat = 4, ntyp = 3
/
ATOMIC_SPECIES
Li 6.94 Li.upf
Se 78.96 Se.upf
W 183.84 W.upf
CELL_PARAMETERS angstrom
-3.5101 3.2451 0.3437
-1.1668 1.2102 4.4882
4.0924 -0.3245 -2.4731
ATOMIC_POSITIONS crystal
Li 0.0001 0.0001 0.0000
Li 0.7498 0.2498 0.5000
Se 0.5001 0.5001 0.0000
W 0.2501 0.7501 0.5000
```

## Properties
Spin magnetization (μB/atom): 0.00
Uncorrected energy (eV/f.u.): -19.59
Formation energy from raw total energies (meV per atom): 169

LiWSe2: optimized geometry, PBE-GGA. Values from VASP.

Structure (Quantum ESPRESSO input):
```
&SYSTEM
  ibrav = 0, nat = 4, ntyp = 3
/
ATOMIC_SPECIES
Li 6.94 Li.upf
Se 78.96 Se.upf
W 183.84 W.upf
CELL_PARAMETERS angstrom
-3.4451 2.5234 2.4278
-2.4042 -1.9175 -1.4187
-0.9093 -3.8933 2.7561
ATOMIC_POSITIONS crystal
Li 0.5000 0.6436 0.8373
Se 0.0000 0.0990 0.9278
Se 0.5000 0.3605 0.4036
W 0.0000 0.3969 0.3313
```

## Properties
Spin magnetization (μB/atom): 0.00
Uncorrected energy (eV/f.u.): -22.71
Formation energy from raw total energies (meV per atom): -218
Energy above the most stable polymorph in this dataset (meV per atom): 165

LiW3Se: optimized geometry, PBE-GGA. Values from VASP.

Structure (Quantum ESPRESSO input):
```
&SYSTEM
  ibrav = 0, nat = 5, ntyp = 3
/
ATOMIC_SPECIES
Se 78.96 Se.upf
W 183.84 W.upf
Li 6.94 Li.upf
CELL_PARAMETERS angstrom
-3.0491 -0.1925 -3.4796
-3.4757 -0.1686 3.0550
-0.2537 4.6234 -0.0335
ATOMIC_POSITIONS crystal
Se 0.0000 0.0000 0.0000
W 0.0000 0.5000 0.0000
W 0.0000 0.0000 0.5000
W 0.5000 0.0000 0.0000
Li 0.5000 0.5000 0.5000
```

## Properties
Spin magnetization (μB/atom): 0.00
Uncorrected energy (eV/f.u.): -35.97
Formation energy from raw total energies (meV per atom): 1657
Energy above the most stable polymorph in this dataset (meV per atom): 0

Li2WSe: optimized geometry, PBE-GGA. Values from VASP.

Structure (Quantum ESPRESSO input):
```
&SYSTEM
  ibrav = 0, nat = 4, ntyp = 3
/
ATOMIC_SPECIES
Li 6.94 Li.upf
Se 78.96 Se.upf
W 183.84 W.upf
CELL_PARAMETERS angstrom
5.7161 0.0166 0.0636
-2.1970 4.7457 -0.0097
1.3221 0.6174 2.3651
ATOMIC_POSITIONS crystal
Li 0.0000 0.0000 0.0000
Li 0.5000 0.0000 0.5000
Se 0.0000 0.5000 0.5000
W 0.5000 0.5000 0.0000
```

## Properties
Spin magnetization (μB/atom): 0.00
Uncorrected energy (eV/f.u.): -19.50
Formation energy from raw total energies (meV per atom): 192

LiWSe2: optimized geometry, PBE-GGA. Values from VASP.

Structure (Quantum ESPRESSO input):
```
&SYSTEM
  ibrav = 0, nat = 4, ntyp = 3
/
ATOMIC_SPECIES
Li 6.94 Li.upf
Se 78.96 Se.upf
W 183.84 W.upf
CELL_PARAMETERS angstrom
2.8692 -0.0011 0.0000
-0.9500 2.7073 0.0000
0.0000 0.0000 9.9984
ATOMIC_POSITIONS crystal
Li 0.5000 0.5000 0.7451
Se 0.0000 0.0000 0.9422
Se 0.5000 0.5000 0.3106
W 0.0000 0.0000 0.5021
```

## Properties
Spin magnetization (μB/atom): 0.00
Uncorrected energy (eV/f.u.): -21.33
Formation energy from raw total energies (meV per atom): 127
Energy above the most stable polymorph in this dataset (meV per atom): 510

Li2WSe: optimized geometry, PBE-GGA. Values from VASP.

Structure (Quantum ESPRESSO input):
```
&SYSTEM
  ibrav = 0, nat = 4, ntyp = 3
/
ATOMIC_SPECIES
Li 6.94 Li.upf
Se 78.96 Se.upf
W 183.84 W.upf
CELL_PARAMETERS angstrom
2.7344 0.0238 0.0000
-0.8270 2.6064 0.0000
0.0000 0.0000 8.9812
ATOMIC_POSITIONS crystal
Li 0.0000 0.0000 0.0131
Li 0.0000 0.0000 0.4869
Se 0.5000 0.5000 0.2500
W 0.5000 0.5000 0.7500
```

## Properties
Spin magnetization (μB/atom): 0.00
Uncorrected energy (eV/f.u.): -19.98
Formation energy from raw total energies (meV per atom): 72

Li2WSe: optimized geometry, PBE-GGA. Values from VASP.

Structure (Quantum ESPRESSO input):
```
&SYSTEM
  ibrav = 0, nat = 4, ntyp = 3
/
ATOMIC_SPECIES
Li 6.94 Li.upf
Se 78.96 Se.upf
W 183.84 W.upf
CELL_PARAMETERS angstrom
3.4659 0.0000 0.0000
0.0000 3.4659 0.0000
0.0000 0.0000 4.9789
ATOMIC_POSITIONS crystal
Li 0.0000 0.0000 0.0062
Li 0.0000 0.0000 0.4938
Se 0.5000 0.5000 0.2500
W 0.5000 0.5000 0.7500
```

## Properties
Spin magnetization (μB/atom): 0.06
Uncorrected energy (eV/f.u.): -19.55
Formation energy from raw total energies (meV per atom): 178

Li2WSe: optimized geometry, PBE-GGA. Values from VASP.

Structure (Quantum ESPRESSO input):
```
&SYSTEM
  ibrav = 0, nat = 4, ntyp = 3
/
ATOMIC_SPECIES
Li 6.94 Li.upf
Se 78.96 Se.upf
W 183.84 W.upf
CELL_PARAMETERS angstrom
4.7315 -0.0013 0.0102
3.7366 2.9025 0.0102
1.8966 0.6498 4.6964
ATOMIC_POSITIONS crystal
Li 0.0085 0.0085 0.9680
Li 0.7819 0.7819 0.7971
Se 0.4937 0.4937 0.3774
W 0.2159 0.2159 0.3576
```

## Properties
Spin magnetization (μB/atom): 0.00
Uncorrected energy (eV/f.u.): -20.01
Formation energy from raw total energies (meV per atom): 64

LiWSe2: optimized geometry, PBE-GGA. Values from VASP.

Structure (Quantum ESPRESSO input):
```
&SYSTEM
  ibrav = 0, nat = 4, ntyp = 3
/
ATOMIC_SPECIES
Li 6.94 Li.upf
Se 78.96 Se.upf
W 183.84 W.upf
CELL_PARAMETERS angstrom
-1.8602 1.9003 2.0242
-2.5052 -2.0584 -0.3699
2.3559 -3.7258 5.6627
ATOMIC_POSITIONS crystal
Li 0.5000 0.7500 0.7500
Se 0.0000 0.2406 0.9904
Se 0.0000 0.2594 0.5096
W 0.5000 0.2500 0.2500
```

## Properties
Spin magnetization (μB/atom): 0.00
Uncorrected energy (eV/f.u.): -22.22
Formation energy from raw total energies (meV per atom): -95
Energy above the most stable polymorph in this dataset (meV per atom): 287

LiWSe3: optimized geometry, PBE-GGA. Values from VASP.

Structure (Quantum ESPRESSO input):
```
&SYSTEM
  ibrav = 0, nat = 10, ntyp = 3
/
ATOMIC_SPECIES
Li 6.94 Li.upf
W 183.84 W.upf
Se 78.96 Se.upf
CELL_PARAMETERS angstrom
3.3332 0.0000 0.0000
-1.6666 7.8272 -1.7160
0.0000 -3.0264 9.4467
ATOMIC_POSITIONS crystal
Li 0.6315 0.2630 0.4367
Li 0.3685 0.7370 0.5633
W 0.7972 0.5944 0.1250
W 0.2028 0.4056 0.8750
Se 0.7536 0.5073 0.3384
Se 0.3842 0.7683 0.0482
Se 0.9855 0.9711 0.3710
Se 0.2464 0.4927 0.6616
Se 0.0145 0.0289 0.6290
Se 0.6158 0.2317 0.9518
```

## Properties
Spin magnetization (μB/atom): 0.00
Uncorrected energy (eV/f.u.): -27.44
Formation energy from raw total energies (meV per atom): -424
Energy above the most stable polymorph in this dataset (meV per atom): 0

Li2WSe: optimized geometry, PBE-GGA. Values from VASP.

Structure (Quantum ESPRESSO input):
```
&SYSTEM
  ibrav = 0, nat = 4, ntyp = 3
/
ATOMIC_SPECIES
Li 6.94 Li.upf
Se 78.96 Se.upf
W 183.84 W.upf
CELL_PARAMETERS angstrom
5.3152 -0.0007 0.0000
2.8206 4.5051 0.0000
-4.0679 -2.2522 2.5751
ATOMIC_POSITIONS crystal
Li 0.0000 0.0000 0.0000
Li 0.5000 0.5000 0.0000
Se 0.2500 0.7500 0.5000
W 0.7500 0.2500 0.5000
```

## Properties
Spin magnetization (μB/atom): 0.00
Uncorrected energy (eV/f.u.): -18.83
Formation energy from raw total energies (meV per atom): 359

LiWSe4: optimized geometry, PBE-GGA. Values from VASP.

Structure (Quantum ESPRESSO input):
```
&SYSTEM
  ibrav = 0, nat = 6, ntyp = 3
/
ATOMIC_SPECIES
Li 6.94 Li.upf
W 183.84 W.upf
Se 78.96 Se.upf
CELL_PARAMETERS angstrom
0.0000 4.0368 4.0368
4.0368 0.0000 4.0368
4.0368 4.0368 0.0000
ATOMIC_POSITIONS crystal
Li 0.0000 0.0000 0.0000
W 0.7500 0.7500 0.7500
Se 0.8729 0.3757 0.3757
Se 0.3757 0.3757 0.8729
Se 0.3757 0.8729 0.3757
Se 0.3757 0.3757 0.3757
```

## Properties
Spin magnetization (μB/atom): 0.78
Uncorrected energy (eV/f.u.): -22.77
Formation energy from raw total energies (meV per atom): 1007

Li2WSe: optimized geometry, PBE-GGA. Values from VASP.

Structure (Quantum ESPRESSO input):
```
&SYSTEM
  ibrav = 0, nat = 4, ntyp = 3
/
ATOMIC_SPECIES
Li 6.94 Li.upf
Se 78.96 Se.upf
W 183.84 W.upf
CELL_PARAMETERS angstrom
-0.7008 2.4023 1.5099
-0.0374 -2.4208 1.6373
8.6986 1.2506 2.0476
ATOMIC_POSITIONS crystal
Li 0.0000 0.0000 0.9875
Li 0.5000 0.5000 0.2739
Se 0.0000 0.0000 0.5098
W 0.5000 0.5000 0.7288
```

## Properties
Spin magnetization (μB/atom): 0.00
Uncorrected energy (eV/f.u.): -19.18
Formation energy from raw total energies (meV per atom): 270